A relaxed structure of CdF. Source: Alexandria, functional PBE-GGA.

Output
- Fermi-level density of states (states/eV/atom) = 0.159
- formation energy without anion corrections (eV per formula unit) = -3.120

Unit cell a=3.7385 b=3.2358 c=5.7690 alpha=90.00 beta=108.90 gamma=90.00
Space group P2_1/m (No. 11)
Unique sites:
Cd (0.1104, 0.2500, 0.2182) (multiplicity 2)
F (0.3178, 0.2500, 0.6351) (multiplicity 2)

=====

A relaxed structure of BSbI2O. Source: Alexandria, functional PBE-GGA.

Output
- Fermi-level density of states (states/eV/atom) = 0.589
- formation energy without anion corrections (eV per formula unit) = 0.732
- excess energy over the best structure of this formula in the dataset (meV/atom) = 0

Unit cell a=7.0428 b=7.0428 c=2.8492 alpha=90.00 beta=90.00 gamma=90.00
Space group P4/mmm (No. 123)
Unique sites:
B (0.0000, 0.0000, 0.0000) (multiplicity 1)
Sb (0.5000, 0.5000, 0.5000) (multiplicity 1)
I (0.0000, 0.5000, 0.0000) (multiplicity 2)
O (0.0000, 0.0000, 0.5000) (multiplicity 1)

=====

A relaxed structure of SmYCdCo. Source: Alexandria, functional PBE-GGA.

Output
- energy of formation from the pure elements (meV per atom) = -213
- Fermi-level density of states (states/eV/atom) = 0.672
- excess energy over the best structure of this formula in the dataset (meV/atom) = 0

Unit cell a=3.4752 b=3.4752 c=7.7209 alpha=90.00 beta=90.00 gamma=90.00
Space group P4mm (No. 99)
Unique sites:
Sm (0.0000, 0.0000, 0.0000) (multiplicity 1)
Y (0.0000, 0.0000, 0.5737) (multiplicity 1)
Cd (0.5000, 0.5000, 0.2945) (multiplicity 1)
Co (0.5000, 0.5000, 0.7814) (multiplicity 1)

=====

A relaxed structure of ZnGaTe2I. Source: Alexandria, functional PBE-GGA.

Output
- Fermi-level density of states (states/eV/atom) = 0.743
- formation energy without anion corrections (eV per formula unit) = 0.772
- excess energy over the best structure of this formula in the dataset (meV/atom) = 0

Unit cell a=5.3051 b=5.3051 c=5.8804 alpha=90.00 beta=90.00 gamma=90.00
Space group P4/mmm (No. 123)
Unique sites:
Zn (0.0000, 0.0000, 0.0000) (multiplicity 1)
Ga (0.5000, 0.5000, 0.5000) (multiplicity 1)
Te (0.0000, 0.5000, 0.0000) (multiplicity 2)
I (0.0000, 0.0000, 0.5000) (multiplicity 1)

=====

- Number 3 is which compound?
  SmYCdCo

=====

- Among the records above, which one has the lowest Fermi-level density of states?
  CdF

=====

Copy entry 3 word for word.
A relaxed structure of SmYCdCo. Source: Alexandria, functional PBE-GGA.

Output
- energy of formation from the pure elements (meV per atom) = -213
- Fermi-level density of states (states/eV/atom) = 0.672
- excess energy over the best structure of this formula in the dataset (meV/atom) = 0

Unit cell a=3.4752 b=3.4752 c=7.7209 alpha=90.00 beta=90.00 gamma=90.00
Space group P4mm (No. 99)
Unique sites:
Sm (0.0000, 0.0000, 0.0000) (multiplicity 1)
Y (0.0000, 0.0000, 0.5737) (multiplicity 1)
Cd (0.5000, 0.5000, 0.2945) (multiplicity 1)
Co (0.5000, 0.5000, 0.7814) (multiplicity 1)